<w>
Density functional theory data (PBE-GGA) for a geometry-optimized CsBr2F structure.

Total magnetization (μB per cell): 0.0
Calculated volume (Å³ per cell): 416.6

a = 5.1292 Å, b = 5.1292 Å, c = 18.2865 Å
α = 90.00°, β = 90.00°, γ = 120.00°
Space group R-3m (No. 166, hexagonal axes)
Asymmetric unit:
Cs 0.0000 0.0000 0.0000 x3
Br 0.0000 0.0000 0.1816 x6
F 0.0000 0.0000 0.5000 x3

<x>
Density functional theory data (PBE-GGA) for a geometry-optimized CsBr2F structure.

Total magnetization (μB per cell): 0.0
Calculated volume (Å³ per cell): 141.6

a = 4.383 Å, b = 4.383 Å, c = 7.371 Å
α = 90.00°, β = 90.00°, γ = 90.00°
Space group P4/mmm (No. 123)
Asymmetric unit:
Cs 0.000 0.000 0.000 x1
Br 0.500 0.500 0.338 x2
F 0.500 0.500 0.000 x1

In order of decreasing stability: <x>, <w>.

<w>
Density functional theory data (PBE-GGA) for a geometry-optimized Cs2BrF structure.

Total magnetization (μB per cell): 0.3
Calculated volume (Å³ per cell): 327.7

a = 5.500 Å, b = 5.500 Å, c = 10.832 Å
α = 90.00°, β = 90.00°, γ = 90.00°
Space group P4/nmm (No. 129, origin choice 2)
Asymmetric unit:
Cs 0.250 0.250 0.152 x2
Cs 0.250 0.750 0.500 x2
Br 0.250 0.250 0.809 x2
F 0.250 0.250 0.409 x2

<x>
Density functional theory data (PBE-GGA) for a geometry-optimized Cs2BrF structure.

Total magnetization (μB per cell): 0.5
Calculated volume (Å³ per cell): 564.1

a = 8.263 Å, b = 8.263 Å, c = 8.263 Å
α = 90.00°, β = 90.00°, γ = 90.00°
Space group Fm-3m (No. 225)
Asymmetric unit:
Cs 0.250 0.250 0.250 x8
Br 0.000 0.000 0.000 x4
F 0.000 0.000 0.500 x4

In order of decreasing stability: <w>, <x>.